1.
Below is an optimized crystal structure of Ce2SmMn, with properties calculated at the PBE-GGA level.

Cell: 3.4579 3.4579 8.6083 Å, 90.00 90.00 90.00°
With the nearest neighbours (Å) after each atom.
Atoms (fractional coordinates):
Sm 0.5000 0.5000 0.5000  4 Sm 3.46, 8 Ce 3.59
Mn 0.5000 0.5000 0.0000  8 Ce 2.96
Ce 0.0000 0.0000 0.8057  4 Mn 2.96
Ce 0.0000 0.0000 0.1943  4 Mn 2.96

Calculated values
The value obtained for the calculated total energy is -6.24 eV per atom. The energy above the most stable polymorph in this dataset comes out at 0.0 meV per atom. Its density of states at the Fermi level is 10.926 states/eV/f.u. The formation energy is 0.20 eV/atom.

2.
Below is an optimized crystal structure of CeSmMn, with properties calculated at the PBE-GGA level.

Cell: 3.5264 3.5264 6.3380 Å, 106.15 106.15 90.00°
With the nearest neighbours (Å) after each atom.
Atoms (fractional coordinates):
Mn 0.6538 0.6538 0.3076  4 Ce 2.88, 4 Sm 3.13
Ce 0.0297 0.0297 0.0594  4 Mn 2.88
Sm 0.3165 0.3165 0.6330  4 Mn 3.13, 1 Ce 3.34

Calculated values
The value obtained for the calculated total energy is -6.37 eV per atom. Its density of states at the Fermi level is 7.007 states/eV/f.u. The formation energy is 0.24 eV/atom.

3.
Below is an optimized crystal structure of Ce2MnSn, with properties calculated at the PBE-GGA level.

Cell: 4.7677 4.4179 4.4179 Å, 90.00 90.00 90.00°
With the nearest neighbours (Å) after each atom.
Atoms (fractional coordinates):
Ce 0.0000 0.5000 0.0000  4 Ce 3.12, 4 Mn 3.25, 4 Sn 3.25
Ce 0.0000 0.0000 0.5000  4 Ce 3.12, 4 Mn 3.25, 4 Sn 3.25
Sn 0.5000 0.5000 0.5000  4 Mn 3.12, 8 Ce 3.25
Mn 0.5000 0.0000 0.0000  4 Sn 3.12, 8 Ce 3.25

Calculated values
The value obtained for the calculated total energy is -6.47 eV per atom. The energy above the most stable polymorph in this dataset comes out at 0.0 meV per atom. Its density of states at the Fermi level is 7.932 states/eV/f.u. The formation energy is -0.21 eV/atom.

4.
Below is an optimized crystal structure of Ce4MnSn8, with properties calculated at the PBE-GGA level.

Cell: 4.4680 4.5528 17.1442 Å, 90.00 90.00 90.00°
With the nearest neighbours (Å) after each atom.
Atoms (fractional coordinates):
Ce 0.0000 0.0000 0.0940  10 Sn 3.23-3.58
Ce 0.5000 0.0000 0.8988  10 Sn 3.24-3.50
Ce 0.5000 0.5000 0.3914  8 Sn 3.42-3.59, 4 Mn 3.46
Ce 0.0000 0.5000 0.6080  10 Sn 3.23-3.37
Sn 0.0000 0.0000 0.4634  1 Mn 2.58
Sn 0.0000 0.0000 0.7529  4 Sn 3.19, 4 Ce 3.35-3.37
Sn 0.5000 0.5000 0.7553  4 Sn 3.19, 4 Ce 3.35-3.37
Sn 0.5000 0.0000 0.2297  2 Mn 2.65
Sn 0.5000 0.0000 0.5789  2 Sn 2.99, 4 Ce 3.23
Sn 0.0000 0.5000 0.2315  2 Mn 2.67
Sn 0.5000 0.5000 0.0541  2 Sn 3.06, 4 Ce 3.26
Sn 0.0000 0.5000 0.9325  2 Sn 3.06, 4 Ce 3.24
Mn 0.0000 0.0000 0.3126  5 Sn 2.58-2.67

Calculated values
The value obtained for the calculated total energy is -5.48 eV per atom. Its density of states at the Fermi level is 23.763 states/eV/f.u. The formation energy is -0.48 eV/atom.

5.
Below is an optimized crystal structure of Ce2MnSn, with properties calculated at the PBE-GGA level.

Cell: 3.6627 3.6627 9.8419 Å, 79.28 79.28 60.00°
With the nearest neighbours (Å) after each atom.
Atoms (fractional coordinates):
Ce 0.1136 0.1136 0.6592  3 Mn 2.61
Ce 0.8864 0.8864 0.3408  3 Mn 2.61
Sn 0.0000 0.0000 0.0000  2 Ce 3.28, 6 Sn 3.66
Mn 0.5000 0.5000 0.5000  6 Ce 2.61

Calculated values
The value obtained for the calculated total energy is -5.97 eV per atom. The energy above the most stable polymorph in this dataset comes out at 498.1 meV per atom. Its density of states at the Fermi level is 5.270 states/eV/f.u. The formation energy is 0.29 eV/atom.

6.
Below is an optimized crystal structure of CeMnSn, with properties calculated at the PBE-GGA level.

Cell: 6.8788 6.0020 7.1797 Å, 117.03 90.00 90.00°
With the nearest neighbours (Å) after each atom.
Atoms (fractional coordinates):
Mn 0.1927 0.6119 0.9814  1 Ce 2.09
Mn 0.3073 0.1119 0.9814  1 Ce 2.09
Mn 0.8073 0.3881 0.0186  1 Ce 2.09
Mn 0.6927 0.8881 0.0186  1 Ce 2.09
Ce 0.4062 0.5069 0.7500  1 Mn 2.09
Ce 0.5938 0.4931 0.2500  1 Mn 2.09
Ce 0.0938 0.0069 0.7500  1 Mn 2.09
Ce 0.9062 0.9931 0.2500  1 Mn 2.09
Sn 0.6144 0.9989 0.7113  3 Mn 2.63-2.74
Sn 0.3856 0.0011 0.2887  3 Mn 2.63-2.74
Sn 0.1144 0.5011 0.2887  3 Mn 2.63-2.74
Sn 0.8856 0.4989 0.7113  3 Mn 2.63-2.74

Calculated values
The value obtained for the calculated total energy is -6.58 eV per atom. Its density of states at the Fermi level is 2.411 states/eV/f.u. The formation energy is -0.21 eV/atom.